1.
8
Lattice="-2.2753 2.2753 8.9012 2.2753 -2.2753 8.9012 2.2753 2.2753 -8.9012" Properties=species:S:1:pos:R:3 comment="TbMg2Cd5, optimized geometry, DFT GGA-PBE" formation_enthalpy_0k_ev_per_atom=-0.18 vol_a3_per_cell=184.3 pbc="T T T"
Tb 0.0000 0.0000 0.0000
Mg 0.0000 0.0000 4.3764
Mg 0.0000 0.0000 13.4259
Cd 2.2753 0.0000 2.3338
Cd 2.2753 0.0000 6.5673
Cd 0.0000 0.0000 8.9012
Cd 0.0000 2.2753 2.3338
Cd 0.0000 2.2753 6.5673


2.
4
Lattice="0.0000 3.5732 3.5732 3.5732 0.0000 3.5732 3.5732 3.5732 0.0000" Properties=species:S:1:pos:R:3 comment="NdGdGaNi, optimized geometry, DFT GGA-PBE" formation_enthalpy_0k_ev_per_atom=-0.37 vol_a3_per_cell=91.2 pbc="T T T"
Nd 0.0000 0.0000 0.0000
Gd 3.5732 3.5732 3.5732
Ga 1.7866 1.7866 1.7866
Ni 5.3599 5.3599 5.3599